# ZrMnIn2 (PBE, relaxed)
# Total moment: 0.85 μB/atom
# Crystal system: tetragonal
# V: 20.3 A^3/atom
# Density of states at the Fermi level: 3.5 states/eV/f.u.
# Uncorrected energy: -5.8884 eV per atom
data_ZrMnIn2
_chemical_formula_sum 'Zr1 Mn1 In2'
_cell_length_a 4.3417
_cell_length_b 4.3417
_cell_length_c 4.3141
_cell_angle_alpha 90.00
_cell_angle_beta 90.00
_cell_angle_gamma 90.00
_symmetry_space_group_name_H-M 'P 4/m m m'
_symmetry_Int_Tables_number 123
_symmetry_space_group_name_Hall '-P 4 2'
loop_
_atom_site_label
_atom_site_type_symbol
_atom_site_fract_x
_atom_site_fract_y
_atom_site_fract_z
_atom_site_occupancy
Zr1 Zr 0.0000 0.0000 0.0000 1
Mn1 Mn 0.5000 0.5000 0.0000 1
In1 In 0.0000 0.5000 0.5000 1